# Tb2DyMgTl4 | the Alexandria database | PBE | optimized geometry
# ΔE_f (meV per atom): -294
data_Tb2DyMgTl4
_space_group_name_H-M_alt 'R -3 m'
_space_group_IT_number 166
_space_group_name_Hall '-R 3 2"'
_cell_length_a 5.2644
_cell_length_b 5.2644
_cell_length_c 26.7506
_cell_angle_alpha 90.00
_cell_angle_beta 90.00
_cell_angle_gamma 120.00
loop_
_atom_site_label
_atom_site_type_symbol
_atom_site_fract_x
_atom_site_fract_y
_atom_site_fract_z
Tb1 Tb 0.0000 0.0000 0.2434
Dy1 Dy 0.0000 0.0000 0.0000
Mg1 Mg 0.0000 0.0000 0.5000
Tl1 Tl 0.0000 0.0000 0.1237
Tl2 Tl 0.0000 0.0000 0.3752


# UPPd6 | the Alexandria database | PBE | optimized geometry
# ΔE_f (meV per atom): -332
data_UPPd6
_space_group_name_H-M_alt 'C 1 2/m 1'
_space_group_IT_number 12
_cell_length_a 6.434
_cell_length_b 9.031
_cell_length_c 5.542
_cell_angle_alpha 90.00
_cell_angle_beta 124.79
_cell_angle_gamma 90.00
loop_
_space_group_symop_operation_xyz
'x,y,z'
'-x,-y,-z'
'-x,y,-z'
'x,-y,z'
'x+1/2,y+1/2,z'
'-x+1/2,-y+1/2,-z'
'-x+1/2,y+1/2,-z'
'x+1/2,-y+1/2,z'
loop_
_atom_site_label
_atom_site_type_symbol
_atom_site_fract_x
_atom_site_fract_y
_atom_site_fract_z
U1 U 0.000 0.000 0.000
P1 P 0.000 0.500 0.500
Pd1 Pd 0.010 0.260 0.751
Pd2 Pd 0.249 0.000 0.732


# Ac6CoGe3 | the Alexandria database | PBE | optimized geometry
# ΔE_f (meV per atom): -356
data_Ac6CoGe3
_space_group_name_H-M_alt 'R -3'
_space_group_IT_number 148
_space_group_name_Hall '-R 3'
_cell_length_a 13.8226
_cell_length_b 13.8226
_cell_length_c 13.1153
_cell_angle_alpha 90.00
_cell_angle_beta 90.00
_cell_angle_gamma 120.00
loop_
_atom_site_label
_atom_site_type_symbol
_atom_site_fract_x
_atom_site_fract_y
_atom_site_fract_z
Ac1 Ac 0.0348 0.2008 0.3939
Ac2 Ac 0.0440 0.1990 0.8871
Co1 Co 0.0000 0.0000 0.0000
Co2 Co 0.0000 0.0000 0.5000
Ge1 Ge 0.0526 0.2778 0.6574


# Ba4Sb5 | the Alexandria database | PBE | optimized geometry
# Formation energy from raw total energies (eV per atom): -0.673
# Energy relative to the lowest polymorph listed for this composition (meV per atom): 0
data_Ba4Sb5
_space_group_name_H-M_alt 'I 4/m m m'
_space_group_IT_number 139
_space_group_name_Hall '-I 4 2'
_cell_length_a 12.342
_cell_length_b 12.342
_cell_length_c 4.865
_cell_angle_alpha 90.00
_cell_angle_beta 90.00
_cell_angle_gamma 90.00
loop_
_atom_site_label
_atom_site_type_symbol
_atom_site_fract_x
_atom_site_fract_y
_atom_site_fract_z
Ba1 Ba 0.000 0.275 0.000
Sb1 Sb 0.000 0.000 0.000
Sb2 Sb 0.196 0.196 0.500


Here are the calculated total moment numbers, same order: 0.00 1.08 0.00 0.63 (μB per formula unit).